Record 1
Density functional theory data (PBE) for crystalline Nd3Sn4Ru2 at its relaxed geometry.

Geometry as CIF:
```
data_Nd3Sn4Ru2
_cell_length_a 4.756
_cell_length_b 6.170
_cell_length_c 8.803
_cell_angle_alpha 106.88
_cell_angle_beta 90.00
_cell_angle_gamma 112.67
_space_group_name_H-M_alt 'P 1'
_space_group_IT_number 1
loop_
_space_group_symop_operation_xyz
'x,y,z'
loop_
_atom_site_label
_atom_site_fract_x
_atom_site_fract_y
_atom_site_fract_z
Nd1 0.373 0.745 0.312
Nd2 0.000 0.000 0.000
Nd3 0.627 0.255 0.688
Ru1 0.684 0.368 0.371
Ru2 0.316 0.632 0.629
Sn1 0.708 0.417 0.082
Sn2 0.907 0.814 0.603
Sn3 0.093 0.186 0.397
Sn4 0.292 0.583 0.918
```

---

Record 2
Density functional theory data (PBE) for crystalline PrNdHg2 at its relaxed geometry.

Results
relative energy among the computed polymorphs: 149 meV per atom

Geometry as CIF:
```
data_PrNdHg2
_cell_length_a 3.922
_cell_length_b 3.922
_cell_length_c 9.607
_cell_angle_alpha 78.22
_cell_angle_beta 78.22
_cell_angle_gamma 60.00
_space_group_name_H-M_alt 'P 1'
_space_group_IT_number 1
loop_
_space_group_symop_operation_xyz
'x,y,z'
loop_
_atom_site_label
_atom_site_fract_x
_atom_site_fract_y
_atom_site_fract_z
Hg1 0.251 0.251 0.248
Hg2 0.083 0.083 0.752
Nd1 0.666 0.666 0.001
Pr1 0.500 0.500 0.500
```

---

| no. | energy relative to the elements (eV per atom) |
| --- | --- |
| 1 | -0.564 |
| 2 | -0.325 |